[1]
Density functional theory data (GGA-PBE) for a relaxed SnBRh3 crystal.

a b c (Å): 3.5438 3.5438 14.8567
angles (deg): 90.00 90.00 120.00
Fractional coordinates of all 10 atoms:
Sn (0.0000, 0.0000, 0.0000)
Sn (0.0000, 0.0000, 0.5000)
B (0.3333, 0.6667, 0.2500)
B (0.6667, 0.3333, 0.7500)
Rh (0.0000, 0.0000, 0.2500)
Rh (0.0000, 0.0000, 0.7500)
Rh (0.3333, 0.6667, 0.1111)
Rh (0.3333, 0.6667, 0.3889)
Rh (0.6667, 0.3333, 0.6111)
Rh (0.6667, 0.3333, 0.8889)

Computed properties:
ΔE_f: -0.054 eV/atom
Uncorrected energy: -6.601 eV per atom
D(E_F): 6.0 states/eV/cell

[2]
Density functional theory data (GGA-PBE) for a relaxed NaNiSb2 crystal.

a b c (Å): 7.2929 7.2929 7.2929
angles (deg): 32.13 32.13 32.13
Fractional coordinates of all 4 atoms:
Na (0.0000, 0.0000, 0.0000)
Ni (0.1653, 0.1653, 0.1653)
Sb (0.5535, 0.5535, 0.5535)
Sb (0.7777, 0.7777, 0.7777)

Computed properties:
Uncorrected energy: -4.099 eV per atom
D(E_F): 1.5 states/eV/cell
E above lowest polymorph: 0.0000 eV/atom
E_form (uncorrected): -0.26 eV/atom

no.,volume (Å³ per atom)
1,16.16
2,24.37